[1]
A PBEsol-optimized structure of Ru2PtRh, computed with meta-GGA SCAN.

Values from the calculation:
- ΔE_f (eV per atom) = 0.055
- SG = P4/mmm

a = 2.6680 Å, b = 2.6680 Å, c = 7.7097 Å
α = 90.00°, β = 90.00°, γ = 90.00°
Element x y z (fractional)
Ru 0.0000 0.0000 0.7442
Ru 0.0000 0.0000 0.2558
Rh 0.5000 0.5000 0.5000
Pt 0.5000 0.5000 0.0000

[2]
A PBEsol-optimized structure of RuPtRh2, computed with meta-GGA SCAN.

Values from the calculation:
- ΔE_f (eV per atom) = -0.023
- SG = I4/mmm

a = 3.7977 Å, b = 3.7977 Å, c = 4.6659 Å
α = 114.01°, β = 114.01°, γ = 90.00°
Element x y z (fractional)
Ru 0.0000 0.0000 0.0000
Rh 0.7500 0.2500 0.5000
Rh 0.2500 0.7500 0.5000
Pt 0.5000 0.5000 0.0000

[3]
A PBEsol-optimized structure of RuPtRh2, computed with meta-GGA SCAN.

Values from the calculation:
- ΔE_f (eV per atom) = -0.010
- SG = I-4m2

a = 3.7934 Å, b = 3.7934 Å, c = 4.6706 Å
α = 113.96°, β = 113.96°, γ = 90.00°
Element x y z (fractional)
Ru 0.5000 0.5000 0.0000
Rh 0.0000 0.0000 0.0000
Rh 0.7500 0.2500 0.5000
Pt 0.2500 0.7500 0.5000

[4]
A PBEsol-optimized structure of RuPtRh, computed with meta-GGA SCAN.

Values from the calculation:
- ΔE_f (eV per atom) = 0.608
- SG = F-43m

a = 4.1326 Å, b = 4.1326 Å, c = 4.1326 Å
α = 60.00°, β = 60.00°, γ = 60.00°
Element x y z (fractional)
Pt 0.2500 0.2500 0.2500
Rh 0.0000 0.0000 0.0000
Ru 0.5000 0.5000 0.5000

[5]
A PBEsol-optimized structure of Ru2PtRh, computed with meta-GGA SCAN.

Values from the calculation:
- ΔE_f (eV per atom) = 0.364
- SG = F-43m

a = 4.3163 Å, b = 4.3163 Å, c = 4.3163 Å
α = 60.00°, β = 60.00°, γ = 60.00°
Element x y z (fractional)
Pt 0.5000 0.5000 0.5000
Rh 0.2500 0.2500 0.2500
Ru 0.0000 0.0000 0.0000
Ru 0.7500 0.7500 0.7500

[6]
A PBEsol-optimized structure of RuPtRh2, computed with meta-GGA SCAN.

Values from the calculation:
- ΔE_f (eV per atom) = -0.022
- SG = C2/m

a = 2.6813 Å, b = 4.6633 Å, c = 4.6680 Å
α = 99.51°, β = 90.00°, γ = 106.71°
Element x y z (fractional)
Ru 0.0000 0.0000 0.5000
Rh 0.7467 0.4933 0.7423
Rh 0.2533 0.5067 0.2577
Pt 0.5000 0.0000 0.0000

[7]
A PBEsol-optimized structure of RuPtRh2, computed with meta-GGA SCAN.

Values from the calculation:
- ΔE_f (eV per atom) = -0.009
- SG = P4mm

a = 2.6808 Å, b = 2.6808 Å, c = 7.6527 Å
α = 90.00°, β = 90.00°, γ = 90.00°
Element x y z (fractional)
Ru 0.0000 0.0000 0.4929
Rh 0.0000 0.0000 0.0062
Rh 0.5000 0.5000 0.2546
Pt 0.5000 0.5000 0.7463

[8]
A PBEsol-optimized structure of RuPtRh2, computed with meta-GGA SCAN.

Values from the calculation:
- ΔE_f (eV per atom) = 0.020
- SG = P2/m

a = 2.6846 Å, b = 4.6709 Å, c = 4.6686 Å
α = 109.77°, β = 90.00°, γ = 90.00°
Element x y z (fractional)
Ru 0.5000 0.0000 0.5000
Rh 0.0000 0.0000 0.0000
Rh 0.5000 0.5000 0.0000
Pt 0.0000 0.5000 0.5000

Record-wise Fermi-level density of states values, in states/eV/cell: 4.5; 4.2; 4.4; 3.6; 3.8; 3.8; 4.0; 4.7
Record-wise total magnetic moment values, in μB per formula unit: 0.0; 0.0; 0.0; 0.0; 3.1; 0.0; 0.0; 0.0